<one>
A plane-wave DFT calculation with PBE-GGA was carried out for a relaxed AsBr4 crystal.

abc: 6.5671 6.5671 10.7958
angles: 90.00 90.00 90.00
Last column: nearest neighbours and their distance in Å.
Fractional positions:
1 As 0.0000 0.0000 0.0000  4 Br 2.41
2 As 0.5000 0.5000 0.5000  4 Br 2.41
3 Br 0.2081 0.2132 0.8699  1 As 2.41
4 Br 0.2132 0.7919 0.1301  1 As 2.41
5 Br 0.2868 0.2919 0.3699  1 As 2.41
6 Br 0.2919 0.7132 0.6301  1 As 2.41
7 Br 0.7081 0.2868 0.6301  1 As 2.41
8 Br 0.7132 0.7081 0.3699  1 As 2.41
9 Br 0.7868 0.2081 0.1301  1 As 2.41
10 Br 0.7919 0.7868 0.8699  1 As 2.41

Results
Total magnetic moment ... 0.2087 μB per atom
Symmetry ... P-42_1c

<two>
A plane-wave DFT calculation with PBE-GGA was carried out for a relaxed AsBr4 crystal.

abc: 5.3152 5.3152 5.3152
angles: 90.00 90.00 90.00
Last column: nearest neighbours and their distance in Å.
Fractional positions:
1 As 0.0000 0.0000 0.0000  6 Br 2.66
2 Br 0.0000 0.0000 0.5000  2 As 2.66
3 Br 0.0000 0.5000 0.0000  2 As 2.66
4 Br 0.5000 0.0000 0.0000  2 As 2.66
5 Br 0.5000 0.5000 0.5000  12 Br 3.76

Results
Total magnetic moment ... 0.2076 μB per atom
Symmetry ... Pm-3m

Most stable: <one>. Least stable: <two>.